Record 1
Crystalline NiPPb at its relaxed geometry, computed with PBE-GGA.

Cell lengths 4.515, 4.515, 4.515 Å; angles 60.00, 60.00, 60.00 degrees
Sites, in units of the cell vectors:
1 P 0.500 0.500 0.500
2 Pb 0.250 0.250 0.250
3 Ni 0.000 0.000 0.000

Results
Formation enthalpy at 0 K ... 764.6 meV per atom
Total magnetization ... 0.002 μB per cell

---

Record 2
Crystalline ZrSc2Hg at its relaxed geometry, computed with PBE-GGA.

Cell lengths 4.365, 4.498, 4.498 Å; angles 90.00, 90.00, 90.00 degrees
Sites, in units of the cell vectors:
1 Sc 0.000 0.000 0.000
2 Sc 0.000 0.500 0.500
3 Zr 0.500 0.500 0.000
4 Hg 0.500 0.000 0.500

Results
Formation enthalpy at 0 K ... -166.1 meV per atom
Total magnetization ... 0.000 μB per cell

---

Record 3
Crystalline SrMg2Mo at its relaxed geometry, computed with PBE-GGA.

Cell lengths 10.886, 10.886, 10.886 Å; angles 16.80, 16.80, 16.80 degrees
Sites, in units of the cell vectors:
1 Mg 0.513 0.513 0.513
2 Mg 0.987 0.987 0.987
3 Sr 0.750 0.750 0.750
4 Mo 0.250 0.250 0.250

Results
Energy relative to the lowest polymorph listed for this composition ... 165 meV/atom
Formation enthalpy at 0 K ... 653.9 meV per atom
Total magnetization ... 0.002 μB per cell

---

Record 4
Crystalline LiIrPdF2 at its relaxed geometry, computed with PBE-GGA.

Cell lengths 4.160, 5.086, 4.160 Å; angles 90.00, 90.00, 90.00 degrees
Sites, in units of the cell vectors:
1 Pd 0.000 0.000 0.000
2 Li 0.500 0.500 0.500
3 F 0.500 0.000 0.000
4 F 0.000 0.000 0.500
5 Ir 0.000 0.500 0.000

Results
Total magnetization ... 1.948 μB per cell
Formation energy from raw total energies ... -13 kJ per mole of atoms

---

Record 5
Crystalline Er8Si3SbTe4 at its relaxed geometry, computed with PBE-GGA.

Cell lengths 8.464, 8.572, 8.465 Å; angles 119.58, 120.00, 90.00 degrees
Sites, in units of the cell vectors:
1 Er 0.739 0.717 0.478
2 Er 0.753 0.279 0.506
3 Er 0.247 0.721 0.494
4 Er 0.261 0.283 0.522
5 Er 0.727 0.722 0.975
6 Er 0.753 0.278 0.025
7 Er 0.273 0.278 0.025
8 Er 0.247 0.722 0.975
9 Te 0.500 0.000 0.000
10 Te 0.000 0.000 0.500
11 Te 0.000 0.000 0.000
12 Te 0.500 0.000 0.500
13 Sb 0.000 0.500 0.000
14 Si 0.000 0.500 0.500
15 Si 0.500 0.500 0.500
16 Si 0.500 0.500 0.000

Results
Total magnetization ... 0.000 μB per cell
Formation energy from raw total energies ... -108 kJ per mole of atoms

---

Record 6
Crystalline TbPrDySc at its relaxed geometry, computed with PBE-GGA.

Cell lengths 3.783, 5.684, 6.729 Å; angles 114.98, 73.65, 90.00 degrees
Sites, in units of the cell vectors:
1 Tb 0.655 0.411 0.822
2 Sc 0.921 0.642 0.283
3 Pr 0.416 0.141 0.281
4 Dy 0.194 0.872 0.743

Results
Energy relative to the lowest polymorph listed for this composition ... 0 meV/atom
Formation enthalpy at 0 K ... 94.3 meV per atom
Total magnetization ... 0.000 μB per cell